The following is a PBE with a Hubbard U calculation of an optimized crystal structure of TcMoO3, from Alexandria via LeMat-Bulk.

Values from the calculation:
Its space-group type is No. 221. For the density, the calculation gives 6.73 g/cm3. The value obtained for the total energy is -7.1343 eV/atom.

Unit cell a=3.909 b=3.909 c=3.909 alpha=90.00 beta=90.00 gamma=90.00
Atoms (fractional coordinates):
1 Tc 0.000 0.000 0.000
2 Mo 0.500 0.500 0.500
3 O 0.000 0.000 0.500
4 O 0.000 0.500 0.000
5 O 0.500 0.000 0.000